Entry 1:
SrMg: PBEsol geometry, meta-GGA SCAN.

Cell lengths 4.130, 4.130, 4.130 Å; angles 90.00, 90.00, 90.00 degrees
Positions (direct):
Sr1 0.000 0.000 0.000
Mg1 0.500 0.500 0.500

**DFT formation energy**: -0.0404 eV/atom
**SG**: Pm-3m

---

Entry 2:
Sr17Mg12: PBEsol geometry, meta-GGA SCAN.

Cell lengths 11.299, 11.299, 11.299 Å; angles 109.47, 109.47, 109.47 degrees
Positions (direct):
Sr1 0.000 0.000 0.000
Sr2 0.000 0.000 0.664
Sr3 0.000 0.400 0.688
Sr4 0.000 0.664 0.000
Sr5 0.000 0.688 0.400
Sr6 0.287 0.600 0.600
Sr7 0.312 0.312 0.713
Sr8 0.312 0.713 0.312
Sr9 0.336 0.336 0.336
Sr10 0.400 0.000 0.688
Sr11 0.400 0.688 0.000
Sr12 0.600 0.287 0.600
Sr13 0.600 0.600 0.287
Sr14 0.664 0.000 0.000
Sr15 0.688 0.000 0.400
Sr16 0.688 0.400 0.000
Sr17 0.713 0.312 0.312
Mg1 0.000 0.176 0.357
Mg2 0.000 0.357 0.176
Mg3 0.176 0.000 0.357
Mg4 0.176 0.357 0.000
Mg5 0.180 0.824 0.824
Mg6 0.357 0.000 0.176
Mg7 0.357 0.176 0.000
Mg8 0.643 0.643 0.820
Mg9 0.643 0.820 0.643
Mg10 0.820 0.643 0.643
Mg11 0.824 0.180 0.824
Mg12 0.824 0.824 0.180

**DFT formation energy**: 0.0144 eV/atom
**SG**: I-43m

---

Entry 3:
Sr4Mg3: PBEsol geometry, meta-GGA SCAN.

Cell lengths 16.652, 16.652, 16.652 Å; angles 166.10, 166.10, 19.71 degrees
Positions (direct):
Sr1 0.065 0.065 0.000
Sr2 0.339 0.339 0.000
Sr3 0.661 0.661 0.000
Sr4 0.935 0.935 0.000
Mg1 0.228 0.228 0.000
Mg2 0.500 0.500 0.000
Mg3 0.772 0.772 0.000

**DFT formation energy**: -0.0097 eV/atom
**Offset from the most stable computed form**: 0 meV/atom
**SG**: I4/mmm

---

Entry 4:
SrMg2Ta: PBEsol geometry, meta-GGA SCAN.

Cell lengths 3.135, 5.401, 5.631 Å; angles 90.00, 90.00, 90.00 degrees
Positions (direct):
Sr1 0.000 0.000 0.000
Mg1 0.000 0.500 0.500
Mg2 0.500 0.000 0.500
Ta1 0.500 0.500 0.000

**DFT formation energy**: 0.8377 eV/atom
**Offset from the most stable computed form**: 224 meV/atom
**SG**: Pmmm

---

Entry 5:
SrMg2Ta: PBEsol geometry, meta-GGA SCAN.

Cell lengths 5.466, 5.466, 6.276 Å; angles 95.54, 95.54, 31.37 degrees
Positions (direct):
Sr1 0.000 0.000 0.000
Mg1 0.241 0.241 0.704
Mg2 0.759 0.759 0.296
Ta1 0.500 0.500 0.500

**DFT formation energy**: 0.6137 eV/atom
**Offset from the most stable computed form**: 0 meV/atom
**SG**: C2/m

---

Entry 6:
SrMgTa: PBEsol geometry, meta-GGA SCAN.

Cell lengths 5.240, 5.240, 5.240 Å; angles 60.00, 60.00, 60.00 degrees
Positions (direct):
Sr1 0.000 0.000 0.000
Mg1 0.250 0.250 0.250
Ta1 0.750 0.750 0.750

**DFT formation energy**: 1.8974 eV/atom
**SG**: F-43m

---

Entry 7:
SrMg2Ta: PBEsol geometry, meta-GGA SCAN.

Cell lengths 6.380, 6.380, 6.380 Å; angles 151.83, 128.38, 59.84 degrees
Positions (direct):
Sr1 0.000 0.000 0.000
Mg1 0.493 0.493 0.000
Mg2 0.730 0.230 0.500
Ta1 0.272 0.772 0.500

**DFT formation energy**: 0.6582 eV/atom
**Offset from the most stable computed form**: 44 meV/atom
**SG**: Imm2

---

Entry 8:
Sr2MgTc: PBEsol geometry, meta-GGA SCAN.

Cell lengths 3.517, 3.517, 9.265 Å; angles 90.00, 90.00, 90.00 degrees
Positions (direct):
Sr1 0.000 0.000 0.209
Sr2 0.000 0.000 0.791
Mg1 0.500 0.500 0.500
Tc1 0.500 0.500 0.000

**DFT formation energy**: 0.6199 eV/atom
**SG**: P4/mmm

---

Entry 9:
SrMg3Tc: PBEsol geometry, meta-GGA SCAN.

Cell lengths 5.085, 5.085, 5.085 Å; angles 90.00, 90.00, 90.00 degrees
Positions (direct):
Sr1 0.000 0.000 0.000
Mg1 0.000 0.500 0.500
Mg2 0.500 0.000 0.500
Mg3 0.500 0.500 0.000
Tc1 0.500 0.500 0.500

**DFT formation energy**: 0.3144 eV/atom
**SG**: Pm-3m

---

Entry 10:
SrMgTc3: PBEsol geometry, meta-GGA SCAN.

Cell lengths 4.717, 4.717, 4.717 Å; angles 90.00, 90.00, 90.00 degrees
Positions (direct):
Sr1 0.000 0.000 0.000
Mg1 0.500 0.500 0.500
Tc1 0.000 0.500 0.500
Tc2 0.500 0.000 0.500
Tc3 0.500 0.500 0.000

**DFT formation energy**: 1.6933 eV/atom
**SG**: Pm-3m

---

Entry 11:
SrMgTe2: PBEsol geometry, meta-GGA SCAN.

Cell lengths 7.694, 7.694, 7.694 Å; angles 33.41, 33.41, 33.41 degrees
Positions (direct):
Sr1 0.000 0.000 0.000
Mg1 0.500 0.500 0.500
Te1 0.239 0.239 0.239
Te2 0.761 0.761 0.761

**SG**: R-3m
**Formation energy from raw total energies**: -1.397 eV/atom

---

Entry 12:
SrMgTe2: PBEsol geometry, meta-GGA SCAN.

Cell lengths 5.751, 5.751, 5.751 Å; angles 133.41, 110.74, 87.63 degrees
Positions (direct):
Sr1 0.000 0.000 0.000
Mg1 0.500 0.500 0.000
Te1 0.284 0.784 0.500
Te2 0.716 0.216 0.500

**SG**: Immm
**Formation energy from raw total energies**: -1.107 eV/atom